No. 1
Entry from the Alexandria database: crystalline Sc2TcRh at its relaxed geometry (GGA-PBE).

As for the formation enthalpy at 0 K: -0.150 eV per atom.

The structure belongs to space group F-43m (No. 216); the cell edges are 6.4702, 6.4702 and 6.4702 Å and the angles 90.00°, 90.00° and 90.00°. Symmetry generates all atoms from Sc at (0.0000, 0.0000, 0.0000), Sc at (0.2500, 0.2500, 0.2500), Tc at (0.0000, 0.0000, 0.5000) and Rh at (0.2500, 0.2500, 0.7500).

***

No. 2
Entry from the Alexandria database: crystalline KTmTl2I6 at its relaxed geometry (GGA-PBE).

Its energy relative to the elements, uncorrected is -1.107 eV per atom.

The structure belongs to space group R3 (No. 146, hexagonal axes); the cell edges are 8.6070, 8.6070 and 22.3878 Å and the angles 90.00°, 90.00° and 120.00°. Symmetry generates all atoms from K at (0.0000, 0.0000, 0.0000), Tm at (0.0000, 0.0000, 0.4925), Tl at (0.0000, 0.0000, 0.2943), Tl at (0.0000, 0.0000, 0.8042), I at (0.0252, 0.3980, 0.2338) and I at (0.0623, 0.6824, 0.0770).

***

No. 3
Entry from the Alexandria database: crystalline Cs2K3Rb at its relaxed geometry (GGA-PBE).

Its distance to the lowest polymorph of the same formula is 10.9 meV/atom. As for the formation enthalpy at 0 K: 0.010 eV per atom.

The structure belongs to space group Cmc2_1 (No. 36); the cell edges are 21.2181, 7.1662 and 13.9746 Å and the angles 90.00°, 90.00° and 90.00°. Symmetry generates all atoms from Cs at (0.1648, 0.0008, 0.0000), K at (0.0000, 0.0001, 0.2490), K at (0.1616, 0.4995, 0.7501) and Rb at (0.0000, 0.4984, 0.4991).

***

No. 4
Entry from the Alexandria database: crystalline Ba2ZnSbSe5 at its relaxed geometry (GGA-PBE).

Its energy relative to the elements, uncorrected is -1.103 eV per atom.

The structure belongs to space group Cmc2_1 (No. 36); the cell edges are 4.3142, 19.4151 and 12.8630 Å and the angles 90.00°, 90.00° and 90.00°. Symmetry generates all atoms from Ba at (0.0000, 0.1074, 0.0000), Ba at (0.0000, 0.1224, 0.6167), Zn at (0.0000, 0.4306, 0.7524), Sb at (0.0000, 0.2177, 0.3319), Se at (0.0000, 0.0696, 0.3535), Se at (0.0000, 0.2765, 0.9764), Se at (0.0000, 0.2990, 0.6850), Se at (0.0000, 0.3563, 0.3109) and Se at (0.0000, 0.4985, 0.5945).

***

No. 5
Entry from the Alexandria database: crystalline CeThAg at its relaxed geometry (GGA-PBE).

Its distance to the lowest polymorph of the same formula is 0.0 meV/atom. As for the formation enthalpy at 0 K: 0.023 eV per atom.

The structure belongs to space group I4mm (No. 107); the cell edges are 3.4799, 3.4799 and 13.7419 Å and the angles 90.00°, 90.00° and 90.00°. Symmetry generates all atoms from Ce at (0.0000, 0.0000, 0.0000), Th at (0.0000, 0.0000, 0.6881) and Ag at (0.0000, 0.0000, 0.3454).

***

No. 6
Entry from the Alexandria database: crystalline InSn2H at its relaxed geometry (GGA-PBE).

Its distance to the lowest polymorph of the same formula is 0.0 meV/atom.

The structure belongs to space group P-1 (No. 2); the cell edges are 3.0779, 6.2326 and 10.1649 Å and the angles 106.88°, 90.86° and 90.39°. Symmetry generates all atoms from In at (0.2355, 0.2488, 0.4985), Sn at (0.4807, 0.6495, 0.7966), Sn at (0.4861, 0.1492, 0.7971) and H at (0.4979, 0.7487, 0.9997).

***

No. 7
Entry from the Alexandria database: crystalline SmDy2AgHg4 at its relaxed geometry (GGA-PBE).

As for the formation enthalpy at 0 K: -0.384 eV per atom.

The structure belongs to space group R-3m (No. 166, hexagonal axes); the cell edges are 5.0892, 5.0892 and 26.5821 Å and the angles 90.00°, 90.00° and 120.00°. Symmetry generates all atoms from Sm at (0.0000, 0.0000, 0.0000), Dy at (0.0000, 0.0000, 0.2402), Ag at (0.0000, 0.0000, 0.5000), Hg at (0.0000, 0.0000, 0.1245) and Hg at (0.0000, 0.0000, 0.3781).

***

No. 8
Entry from the Alexandria database: crystalline Zn2TcPd at its relaxed geometry (GGA-PBE).

Its distance to the lowest polymorph of the same formula is 150.0 meV/atom. As for the formation enthalpy at 0 K: 0.135 eV per atom.

The structure belongs to space group R-3m (No. 166, hexagonal axes); the cell edges are 2.7253, 2.7253 and 28.6553 Å and the angles 90.00°, 90.00° and 120.00°. Symmetry generates all atoms from Zn at (0.0000, 0.0000, 0.0913), Tc at (0.0000, 0.0000, 0.0000) and Pd at (0.0000, 0.0000, 0.5000).

***

No. 9
Entry from the Alexandria database: crystalline LaBeZn2 at its relaxed geometry (GGA-PBE).

As for the formation enthalpy at 0 K: -0.145 eV per atom.

The structure belongs to space group C2/m (No. 12); the cell edges are 7.1001, 4.0980 and 5.8672 Å and the angles 90.00°, 113.68° and 90.00°. Symmetry generates all atoms from La at (0.0000, 0.0000, 0.0000), Be at (0.0000, 0.5000, 0.5000) and Zn at (0.2002, 0.0000, 0.6007).

***

No. 10
Entry from the Alexandria database: crystalline TlCrI2N at its relaxed geometry (GGA-PBE).

Its distance to the lowest polymorph of the same formula is 1165.4 meV/atom. Its energy relative to the elements, uncorrected is 1.097 eV per atom.

The structure belongs to space group P4/mmm (No. 123); the cell edges are 6.2226, 6.2226 and 4.2010 Å and the angles 90.00°, 90.00° and 90.00°. Symmetry generates all atoms from Tl at (0.0000, 0.0000, 0.0000), Cr at (0.5000, 0.5000, 0.5000), I at (0.0000, 0.5000, 0.0000) and N at (0.0000, 0.0000, 0.5000).

***

No. 11
Entry from the Alexandria database: crystalline Pr3Sm8Ho2 at its relaxed geometry (GGA-PBE).

Its distance to the lowest polymorph of the same formula is 0.0 meV/atom. As for the formation enthalpy at 0 K: 0.155 eV per atom.

The structure belongs to space group C2/m (No. 12); the cell edges are 13.2198, 11.8333 and 6.2177 Å and the angles 90.00°, 113.31° and 90.00°. Symmetry generates all atoms from Pr at (0.0000, 0.0000, 0.0000), Pr at (0.0000, 0.2422, 0.5000), Sm at (0.0563, 0.5000, 0.2828), Sm at (0.1573, 0.0000, 0.5502), Sm at (0.1746, 0.2564, 0.1757) and Ho at (0.2104, 0.5000, 0.8569).

***

No. 12
Entry from the Alexandria database: crystalline InFeTc at its relaxed geometry (GGA-PBE).

Its distance to the lowest polymorph of the same formula is 179.0 meV/atom. As for the formation enthalpy at 0 K: 0.361 eV per atom.

The structure belongs to space group P3m1 (No. 156); the cell edges are 4.4261, 4.4261 and 2.8159 Å and the angles 90.00°, 90.00° and 120.00°. Symmetry generates all atoms from In at (0.0000, 0.0000, 0.0000), Fe at (0.3333, 0.6667, 0.6719) and Tc at (0.6667, 0.3333, 0.4392).

***

No. 13
Entry from the Alexandria database: crystalline Ac2Ho2Se2S3 at its relaxed geometry (GGA-PBE).

Its energy relative to the elements, uncorrected is -1.735 eV per atom.

The structure belongs to space group I4/mmm (No. 139); the cell edges are 5.0951, 5.0951 and 19.6484 Å and the angles 90.00°, 90.00° and 90.00°. Symmetry generates all atoms from Ac at (0.0000, 0.0000, 0.1768), Ho at (0.0000, 0.5000, 0.0000), Se at (0.0000, 0.0000, 0.4094), S at (0.0000, 0.0000, 0.0000) and S at (0.0000, 0.5000, 0.2500).

***

No. 14
Entry from the Alexandria database: crystalline UTl4Pb3Se8 at its relaxed geometry (GGA-PBE).

Its energy relative to the elements, uncorrected is -0.621 eV per atom.

The structure belongs to space group R-3m (No. 166, hexagonal axes); the cell edges are 8.7013, 8.7013 and 22.6287 Å and the angles 90.00°, 90.00° and 120.00°. Symmetry generates all atoms from U at (0.0000, 0.0000, 0.0000), Tl at (0.0000, 0.0000, 0.5000), Tl at (0.0000, 0.5000, 0.5000), Pb at (0.0000, 0.5000, 0.0000), Se at (0.0000, 0.0000, 0.2561) and Se at (0.0341, 0.5171, 0.7365).

***

No. 15
Entry from the Alexandria database: crystalline Sm4Tl3Hg2 at its relaxed geometry (GGA-PBE).

As for the formation enthalpy at 0 K: -0.342 eV per atom.

The structure belongs to space group P-3m1 (No. 164); the cell edges are 5.2504, 5.2504 and 10.7124 Å and the angles 90.00°, 90.00° and 120.00°. Symmetry generates all atoms from Sm at (0.0000, 0.0000, 0.1696), Sm at (0.3333, 0.6667, 0.3874), Tl at (0.0000, 0.0000, 0.5000), Tl at (0.3333, 0.6667, 0.0548) and Hg at (0.3333, 0.6667, 0.7030).

***

No. 16
Entry from the Alexandria database: crystalline Zr2PdPt at its relaxed geometry (GGA-PBE).

As for the formation enthalpy at 0 K: 0.041 eV per atom.

The structure belongs to space group Immm (No. 71); the cell edges are 2.9561, 5.1462 and 10.4488 Å and the angles 90.00°, 90.00° and 90.00°. Symmetry generates all atoms from Zr at (0.0000, 0.0000, 0.2500), Pd at (0.0000, 0.0000, 0.0000) and Pt at (0.0000, 0.0000, 0.5000).

***

No. 17
Entry from the Alexandria database: crystalline NaCaCr2 at its relaxed geometry (GGA-PBE).

Its distance to the lowest polymorph of the same formula is 0.0 meV/atom. As for the formation enthalpy at 0 K: 0.932 eV per atom.

The structure belongs to space group Fm-3m (No. 225); the cell edges are 7.4797, 7.4797 and 7.4797 Å and the angles 90.00°, 90.00° and 90.00°. Symmetry generates all atoms from Na at (0.0000, 0.0000, 0.0000), Ca at (0.0000, 0.0000, 0.5000) and Cr at (0.2500, 0.2500, 0.2500).

***

No. 18
Entry from the Alexandria database: crystalline Tl3Cu2NiCl8 at its relaxed geometry (GGA-PBE).

Its energy relative to the elements, uncorrected is -0.712 eV per atom.

The structure belongs to space group P-3m1 (No. 164); the cell edges are 6.9345, 6.9345 and 8.9051 Å and the angles 90.00°, 90.00° and 120.00°. Symmetry generates all atoms from Tl at (0.0000, 0.0000, 0.0000), Tl at (0.3333, 0.6667, 0.6409), Cu at (0.3333, 0.6667, 0.2249), Ni at (0.0000, 0.0000, 0.5000), Cl at (0.1582, 0.3165, 0.3370) and Cl at (0.3333, 0.6667, 0.9800).

***

No. 19
Entry from the Alexandria database: crystalline Pm2HoCdC at its relaxed geometry (GGA-PBE).

As for the formation enthalpy at 0 K: -0.228 eV per atom.

The structure belongs to space group P4/mmm (No. 123); the cell edges are 5.1321, 5.1321 and 4.8379 Å and the angles 90.00°, 90.00° and 90.00°. Symmetry generates all atoms from Pm at (0.0000, 0.5000, 0.0000), Ho at (0.0000, 0.0000, 0.5000), Cd at (0.5000, 0.5000, 0.5000) and C at (0.0000, 0.0000, 0.0000).

***

No. 20
Entry from the Alexandria database: crystalline Cu3TcO at its relaxed geometry (GGA-PBE).

Its distance to the lowest polymorph of the same formula is 0.0 meV/atom. Its energy relative to the elements, uncorrected is 0.483 eV per atom.

The structure belongs to space group Pm-3m (No. 221); the cell edges are 3.9387, 3.9387 and 3.9387 Å and the angles 90.00°, 90.00° and 90.00°. Symmetry generates all atoms from Cu at (0.0000, 0.0000, 0.5000), Tc at (0.5000, 0.5000, 0.5000) and O at (0.0000, 0.0000, 0.0000).

***

No. 21
Entry from the Alexandria database: crystalline Li4CaPd at its relaxed geometry (GGA-PBE).

Its distance to the lowest polymorph of the same formula is 0.0 meV/atom. As for the formation enthalpy at 0 K: -0.209 eV per atom.

The structure belongs to space group Pmma (No. 51); the cell edges are 6.4761, 4.7795 and 7.8571 Å and the angles 90.00°, 90.00° and 90.00°. Symmetry generates all atoms from Li at (0.0000, 0.0000, 0.0000), Li at (0.0546, 0.5000, 0.3070), Li at (0.2500, 0.5000, 0.9969), Ca at (0.2500, 0.0000, 0.6201) and Pd at (0.2500, 0.0000, 0.2556).

***

No. 22
Entry from the Alexandria database: crystalline Rb3LaPm2S6 at its relaxed geometry (GGA-PBE).

Its energy relative to the elements, uncorrected is -1.855 eV per atom.

The structure belongs to space group C2/m (No. 12); the cell edges are 7.3375, 12.7082 and 8.0847 Å and the angles 90.00°, 107.61° and 90.00°. Symmetry generates all atoms from Rb at (0.0000, 0.0000, 0.0000), Rb at (0.0000, 0.3337, 0.0000), La at (0.0000, 0.5000, 0.5000), Pm at (0.0000, 0.1667, 0.5000), S at (0.2267, 0.0000, 0.6965) and S at (0.2349, 0.3306, 0.6965).

***

No. 23
Entry from the Alexandria database: crystalline In5Ga2Sn5 at its relaxed geometry (GGA-PBE).

As for the formation enthalpy at 0 K: 0.042 eV per atom.

The structure belongs to space group C2/m (No. 12); the cell edges are 14.7418, 4.6240 and 10.4389 Å and the angles 90.00°, 117.75° and 90.00°. Symmetry generates all atoms from In at (0.0000, 0.0000, 0.0000), In at (0.0886, 0.0000, 0.7635), In at (0.1650, 0.0000, 0.4999), Ga at (0.1694, 0.5000, 0.0000), Sn at (0.0000, 0.5000, 0.5000), Sn at (0.0858, 0.5000, 0.2479) and Sn at (0.2455, 0.0000, 0.2275).

***

No. 24
Entry from the Alexandria database: crystalline HfZrNb at its relaxed geometry (GGA-PBE).

Its distance to the lowest polymorph of the same formula is 780.6 meV/atom. As for the formation enthalpy at 0 K: 0.860 eV per atom.

The structure belongs to space group Pmmm (No. 47); the cell edges are 3.2536, 4.3858 and 5.1400 Å and the angles 90.00°, 90.00° and 90.00°. Symmetry generates all atoms from Hf at (0.0000, 0.0000, 0.0000), Zr at (0.5000, 0.0000, 0.5000) and Nb at (0.0000, 0.5000, 0.5000).

***

no.,total magnetization (μB/f.u.),calculated volume (Å³/f.u.)
1,0.00,67.7
2,0.00,478.8
3,0.00,531.2
4,0.00,269.4
5,0.52,83.2
6,0.00,93.3
7,0.00,198.7
8,0.00,61.4
9,0.00,78.2
10,6.15,162.7
11,0.00,446.6
12,3.34,47.8
13,0.00,255.0
14,0.46,494.6
15,0.00,255.8
16,0.00,79.5
17,9.46,104.6
18,0.99,370.8
19,0.00,127.4
20,0.00,61.1
21,0.00,121.6
22,0.00,359.3
23,0.00,314.9
24,0.00,73.3